Entry 1:
# PBE-GGA InNi2B, relaxed
data_InNi2B
_chemical_formula_sum 'In2 Ni4 B2'
_cell_length_a 6.946
_cell_length_b 6.946
_cell_length_c 6.946
_cell_angle_alpha 142.14
_cell_angle_beta 142.14
_cell_angle_gamma 54.62
_symmetry_space_group_name_H-M 'P 1'
_symmetry_Int_Tables_number 1
_symmetry_space_group_name_Hall 'P 1'
loop_
_atom_site_label
_atom_site_type_symbol
_atom_site_fract_x
_atom_site_fract_y
_atom_site_fract_z
_atom_site_occupancy
In1 In 0.000 0.000 0.000 1
In2 In 0.750 0.250 0.500 1
Ni1 Ni 0.327 0.625 0.202 1
Ni2 Ni 0.375 0.577 0.702 1
Ni3 Ni 0.423 0.125 0.798 1
Ni4 Ni 0.875 0.673 0.298 1
B1 B 0.250 0.750 0.500 1
B2 B 0.500 0.500 0.000 1
# DFT formation energy, eV per atom: 0.310
# Spin magnetization, μB per formula unit: 0.0
# Crystal system: tetragonal

Entry 2:
# PBE-GGA InNi2B, relaxed
data_InNi2B
_chemical_formula_sum 'In1 Ni2 B1'
_cell_length_a 6.375
_cell_length_b 6.375
_cell_length_c 6.375
_cell_angle_alpha 28.29
_cell_angle_beta 28.29
_cell_angle_gamma 28.29
_symmetry_space_group_name_H-M 'P 1'
_symmetry_Int_Tables_number 1
_symmetry_space_group_name_Hall 'P 1'
loop_
_atom_site_label
_atom_site_type_symbol
_atom_site_fract_x
_atom_site_fract_y
_atom_site_fract_z
_atom_site_occupancy
In1 In 0.000 0.000 0.000 1
Ni1 Ni 0.216 0.216 0.216 1
Ni2 Ni 0.784 0.784 0.784 1
B1 B 0.500 0.500 0.500 1
# DFT formation energy, eV per atom: -0.069
# Spin magnetization, μB per formula unit: 0.0
# Crystal system: trigonal

Entry 3:
# PBE-GGA InNi10B3, relaxed
data_InNi10B3
_chemical_formula_sum 'In2 Ni20 B6'
_cell_length_a 7.474
_cell_length_b 7.474
_cell_length_c 7.474
_cell_angle_alpha 60.00
_cell_angle_beta 60.00
_cell_angle_gamma 60.00
_symmetry_space_group_name_H-M 'P 1'
_symmetry_Int_Tables_number 1
_symmetry_space_group_name_Hall 'P 1'
loop_
_atom_site_label
_atom_site_type_symbol
_atom_site_fract_x
_atom_site_fract_y
_atom_site_fract_z
_atom_site_occupancy
In1 In 0.250 0.250 0.250 1
In2 In 0.750 0.750 0.750 1
Ni1 Ni 0.000 0.000 0.333 1
Ni2 Ni 0.000 0.000 0.667 1
Ni3 Ni 0.000 0.333 0.000 1
Ni4 Ni 0.000 0.333 0.667 1
Ni5 Ni 0.000 0.667 0.000 1
Ni6 Ni 0.000 0.667 0.333 1
Ni7 Ni 0.159 0.614 0.614 1
Ni8 Ni 0.333 0.000 0.000 1
Ni9 Ni 0.333 0.000 0.667 1
Ni10 Ni 0.333 0.667 0.000 1
Ni11 Ni 0.386 0.386 0.386 1
Ni12 Ni 0.386 0.386 0.841 1
Ni13 Ni 0.386 0.841 0.386 1
Ni14 Ni 0.614 0.159 0.614 1
Ni15 Ni 0.614 0.614 0.159 1
Ni16 Ni 0.614 0.614 0.614 1
Ni17 Ni 0.667 0.000 0.000 1
Ni18 Ni 0.667 0.000 0.333 1
Ni19 Ni 0.667 0.333 0.000 1
Ni20 Ni 0.841 0.386 0.386 1
B1 B 0.272 0.272 0.728 1
B2 B 0.272 0.728 0.272 1
B3 B 0.272 0.728 0.728 1
B4 B 0.728 0.272 0.272 1
B5 B 0.728 0.272 0.728 1
B6 B 0.728 0.728 0.272 1
# DFT formation energy, eV per atom: -0.234
# Spin magnetization, μB per formula unit: 0.0
# Crystal system: cubic

Entry 4:
# PBE-GGA InNi12B5, relaxed
data_InNi12B5
_chemical_formula_sum 'In1 Ni12 B5'
_cell_length_a 6.155
_cell_length_b 6.155
_cell_length_c 6.155
_cell_angle_alpha 112.97
_cell_angle_beta 112.60
_cell_angle_gamma 103.03
_symmetry_space_group_name_H-M 'P 1'
_symmetry_Int_Tables_number 1
_symmetry_space_group_name_Hall 'P 1'
loop_
_atom_site_label
_atom_site_type_symbol
_atom_site_fract_x
_atom_site_fract_y
_atom_site_fract_z
_atom_site_occupancy
In1 In 0.000 0.000 0.000 1
Ni1 Ni 0.100 0.286 0.814 1
Ni2 Ni 0.182 0.500 0.318 1
Ni3 Ni 0.182 0.865 0.682 1
Ni4 Ni 0.321 0.219 0.540 1
Ni5 Ni 0.321 0.781 0.102 1
Ni6 Ni 0.472 0.286 0.186 1
Ni7 Ni 0.528 0.714 0.814 1
Ni8 Ni 0.679 0.219 0.898 1
Ni9 Ni 0.679 0.781 0.460 1
Ni10 Ni 0.818 0.135 0.318 1
Ni11 Ni 0.818 0.500 0.682 1
Ni12 Ni 0.900 0.714 0.186 1
B1 B 0.142 0.500 0.642 1
B2 B 0.385 0.885 0.500 1
B3 B 0.500 0.500 0.000 1
B4 B 0.615 0.115 0.500 1
B5 B 0.858 0.500 0.358 1
# DFT formation energy, eV per atom: -0.196
# Spin magnetization, μB per formula unit: 0.0
# Crystal system: orthorhombic